A geometry-optimized NiO2 structure. Source: the Alexandria database, functional GGA+U.

Lattice parameters (Å, degrees): 4.8530 4.8530 9.1940 90.00 90.00 145.99
Fractional positions:
Ni (0.1347, 0.8653, 0.5713)
Ni (0.1347, 0.8653, 0.9287)
Ni (0.8653, 0.1347, 0.0713)
Ni (0.8653, 0.1347, 0.4287)
O (0.0444, 0.9556, 0.7500)
O (0.2355, 0.7645, 0.1108)
O (0.2355, 0.7645, 0.3892)
O (0.5000, 0.5000, 0.0000)
O (0.5000, 0.5000, 0.5000)
O (0.7645, 0.2355, 0.6108)
O (0.7645, 0.2355, 0.8892)
O (0.9556, 0.0444, 0.2500)

Computed properties:
E_tot in eV per formula unit: -13.036